[1]
The following is a DFT calculation (PBE) of a geometry-optimized YTlNiC2 structure.

Cell and atoms, written as POSCAR:
```
YTlNiC2
1.0
4.255 0.000 0.000
0.000 4.255 0.000
0.000 0.000 6.104
Y Tl Ni C
1 1 1 2
Cartesian
0.000 0.000 0.000 Y
0.000 0.000 3.052 Tl
2.128 2.128 0.000 Ni
0.000 2.128 3.052 C
2.128 0.000 3.052 C
```

Values from the calculation:
**Space-group type**: P4/mmm
**Total DFT energy (no corrections)**: -4.029 eV per atom
**Energy of formation**: 2.582 eV per atom


[2]
The following is a DFT calculation (PBE) of a geometry-optimized HoPuPbO6 structure.

Cell and atoms, written as POSCAR:
```
HoPuPbO6
1.0
5.804 0.000 0.000
-2.902 5.026 0.000
0.000 0.000 10.188
Ho Pu Pb O
2 2 2 12
Cartesian
0.000 3.351 2.547 Ho
2.902 1.675 7.641 Ho
0.000 3.351 7.641 Pu
2.902 1.675 2.547 Pu
0.000 0.000 0.000 Pb
0.000 0.000 5.094 Pb
-0.930 1.925 6.551 O
-1.700 3.258 8.731 O
0.930 1.925 8.731 O
-0.770 4.870 6.551 O
2.132 0.157 1.457 O
1.202 1.768 3.637 O
1.700 3.258 6.551 O
0.770 4.870 8.731 O
3.672 0.157 3.637 O
1.972 3.102 1.457 O
4.602 1.768 1.457 O
3.832 3.102 3.637 O
```

Values from the calculation:
**Space-group type**: P-31c
**E_form (uncorrected)**: -2.42 eV/atom
**Total DFT energy (no corrections)**: -8.234 eV per atom


[3]
The following is a DFT calculation (PBE) of a geometry-optimized SrB3Ru structure.

Cell and atoms, written as POSCAR:
```
SrB3Ru
1.0
4.347 0.000 0.000
0.000 4.347 0.000
0.000 0.000 4.347
Sr B Ru
1 3 1
Cartesian
0.000 0.000 0.000 Sr
0.000 0.000 2.173 B
0.000 2.173 0.000 B
2.173 0.000 0.000 B
2.173 2.173 2.173 Ru
```

Values from the calculation:
**Space-group type**: Pm-3m
**Total DFT energy (no corrections)**: -2.848 eV per atom
**Energy of formation**: 3.350 eV per atom


Number 1: spin magnetization 1.354 Bohr magnetons per cell. Number 2: spin magnetization 1.983 Bohr magnetons per cell. Number 3: spin magnetization 0.000 Bohr magnetons per cell.